Entry 1:
# CuNi2OsCl

A relaxed structure of CuNi2OsCl (GGA-PBE, Alexandria via LeMat-Bulk).

Calculated volume ... 98.3 Å³/cell
Density ... 6.9 g/cm3
Formation energy (no corrections) ... 1.336 eV/atom
Total DFT energy (no corrections) ... -4.41 eV/atom

abc: 4.5151 4.8225 4.5151
angles: 90.00 90.00 90.00
Fractional coordinates of all 5 atoms:
Cl: 0.5000 0.5000 0.5000
Os: 0.0000 0.0000 0.0000
Ni: 0.5000 0.0000 0.0000
Ni: 0.0000 0.0000 0.5000
Cu: 0.0000 0.5000 0.0000


Entry 2:
# Pr6CuNi2Cl3

A relaxed structure of Pr6CuNi2Cl3 (GGA-PBE, Alexandria via LeMat-Bulk).

Calculated volume ... 321.9 Å³/cell
Density ... 5.8 g/cm3
Formation energy (no corrections) ... -0.841 eV/atom
Total DFT energy (no corrections) ... -5.00 eV/atom

abc: 4.0916 8.7889 9.6677
angles: 108.22 102.22 90.00
Fractional coordinates of all 12 atoms:
Cl: 0.5000 0.5000 0.0000
Cl: 0.1659 0.8314 0.3318
Cl: 0.8341 0.1686 0.6682
Ni: 0.8354 0.6725 0.6708
Ni: 0.1646 0.3275 0.3292
Pr: 0.6781 0.5573 0.3561
Pr: 0.3219 0.4427 0.6439
Pr: 0.9909 0.7573 0.9818
Pr: 0.6606 0.1034 0.3213
Pr: 0.0091 0.2427 0.0182
Pr: 0.3394 0.8966 0.6787
Cu: 0.5000 0.0000 0.0000


Entry 3:
# Rb3Cu2NiCl9

A relaxed structure of Rb3Cu2NiCl9 (GGA-PBE, Alexandria via LeMat-Bulk).

Calculated volume ... 349.4 Å³/cell
Density ... 3.6 g/cm3
Formation energy (no corrections) ... -1.096 eV/atom
Total DFT energy (no corrections) ... -3.33 eV/atom

abc: 6.9120 6.9120 8.4446
angles: 90.00 90.00 120.00
Last column: magnetic moment on the atom in μB.
Fractional coordinates of all 15 atoms:
Cu: 0.6667 0.3333 0.8350  -0.20
Cu: 0.3333 0.6667 0.1650  -0.20
Ni: 0.0000 0.0000 0.5000  0.70
Cl: 0.8374 0.1626 0.6618  0.00
Cl: 0.0000 0.5000 0.0000  -0.05
Cl: 0.1626 0.3252 0.3382  0.00
Cl: 0.3252 0.1626 0.6618  0.00
Cl: 0.8374 0.6748 0.6618  0.00
Cl: 0.1626 0.8374 0.3382  0.00
Cl: 0.5000 0.0000 0.0000  -0.05
Cl: 0.6748 0.8374 0.3382  0.00
Cl: 0.5000 0.5000 0.0000  -0.05
Rb: 0.3333 0.6667 0.6687  0.00
Rb: 0.0000 0.0000 0.0000  0.00
Rb: 0.6667 0.3333 0.3313  0.00


Entry 4:
# Rb3Cu2NiCl6

A relaxed structure of Rb3Cu2NiCl6 (GGA-PBE, Alexandria via LeMat-Bulk).

Calculated volume ... 380.8 Å³/cell
Density ... 2.9 g/cm3
Formation energy (no corrections) ... -1.029 eV/atom
Total DFT energy (no corrections) ... -3.36 eV/atom

abc: 7.2909 7.2909 8.2727
angles: 90.00 90.00 120.00
Last column: magnetic moment on the atom in μB.
Fractional coordinates of all 12 atoms:
Cl: 0.3152 0.1576 0.6910  0.01
Cl: 0.8424 0.6848 0.6910  0.01
Cl: 0.6848 0.8424 0.3090  0.01
Cl: 0.1576 0.8424 0.3090  0.01
Cl: 0.1576 0.3152 0.3090  0.01
Cl: 0.8424 0.1576 0.6910  0.01
Rb: 0.0000 0.0000 0.0000  0.00
Rb: 0.3333 0.6667 0.6725  0.00
Rb: 0.6667 0.3333 0.3275  0.00
Ni: 0.0000 0.0000 0.5000  0.91
Cu: 0.6667 0.3333 0.7179  0.01
Cu: 0.3333 0.6667 0.2821  0.01


Entry 5:
# Rb3CuNi2Cl9

A relaxed structure of Rb3CuNi2Cl9 (GGA-PBE, Alexandria via LeMat-Bulk).

Calculated volume ... 346.3 Å³/cell
Density ... 3.6 g/cm3
Formation energy (no corrections) ... -1.086 eV/atom
Total DFT energy (no corrections) ... -3.43 eV/atom

abc: 6.8834 6.8834 8.4402
angles: 90.00 90.00 120.00
Last column: magnetic moment on the atom in μB.
Fractional coordinates of all 15 atoms:
Cl: 0.5000 0.5000 0.0000  0.03
Cl: 0.0000 0.5000 0.0000  0.03
Cl: 0.6602 0.8301 0.3296  0.03
Cl: 0.8301 0.6602 0.6704  0.03
Cl: 0.8301 0.1699 0.6704  0.03
Cl: 0.3398 0.1699 0.6704  0.03
Cl: 0.5000 0.0000 0.0000  0.03
Cl: 0.1699 0.8301 0.3296  0.03
Cl: 0.1699 0.3398 0.3296  0.03
Rb: 0.0000 0.0000 0.0000  0.00
Rb: 0.6667 0.3333 0.3325  0.00
Rb: 0.3333 0.6667 0.6675  0.00
Cu: 0.0000 0.0000 0.5000  -0.06
Ni: 0.6667 0.3333 0.8307  0.94
Ni: 0.3333 0.6667 0.1693  0.94


Entry 6:
# RbCu2NiCl8

A relaxed structure of RbCu2NiCl8 (GGA-PBE, Alexandria via LeMat-Bulk).

Calculated volume ... 307.6 Å³/cell
Density ... 3.0 g/cm3
Formation energy (no corrections) ... -0.702 eV/atom
Total DFT energy (no corrections) ... -3.18 eV/atom

abc: 6.2606 6.2606 9.0609
angles: 90.00 90.00 120.00
Last column: magnetic moment on the atom in μB.
Fractional coordinates of all 12 atoms:
Cl: 0.7058 0.0028 0.3509  0.04
Cl: 0.2942 0.9972 0.6491  0.04
Cl: 0.3333 0.6667 0.9521  0.15
Cl: 0.6667 0.3333 0.0479  0.15
Cl: 0.2970 0.2942 0.3509  0.04
Cl: 0.7030 0.7058 0.6491  0.04
Cl: 0.0028 0.2970 0.6491  0.04
Cl: 0.9972 0.7030 0.3509  0.04
Ni: 0.0000 0.0000 0.5000  -0.23
Cu: 0.3333 0.6667 0.7089  0.35
Cu: 0.6667 0.3333 0.2911  0.35
Rb: 0.0000 0.0000 0.0000  0.00